Record 1
DFT (GGA-PBE) results for a relaxed structure of Ce5Ge2PC.

Geometry as POSCAR:
```
Ce5Ge2PC
1.0
4.633 0.000 0.000
0.000 4.633 0.000
0.000 0.000 10.879
Ce Ge P C
5 2 1 1
Cartesian
0.000 0.000 0.000
0.000 2.316 5.440
2.316 0.000 5.440
2.316 2.316 2.778
2.316 2.316 8.101
0.000 0.000 3.189
0.000 0.000 7.690
2.316 2.316 0.000
2.316 2.316 5.440
```

Output
SG: No. 123
Total DFT energy (no corrections), eV per atom: -6.53

=====

Record 2
DFT (GGA-PBE) results for a relaxed structure of TmZn6Ag12.

Geometry as POSCAR:
```
TmZn6Ag12
1.0
5.914 3.415 2.960
-5.914 3.415 2.960
0.000 -6.829 2.960
Tm Zn Ag
1 6 12
Cartesian
0.000 0.000 0.000
0.000 -2.815 3.773
-2.438 1.407 3.773
-2.438 -1.407 5.107
2.438 1.407 3.773
2.438 -1.407 5.107
0.000 2.815 5.107
-2.270 -3.932 4.440
-4.541 0.000 4.440
-1.459 -0.843 2.585
1.459 -0.843 2.585
0.000 1.685 2.585
2.270 -3.932 4.440
-2.270 3.932 4.440
0.000 -1.685 6.296
-1.459 0.843 6.296
1.459 0.843 6.296
4.541 0.000 4.440
2.270 3.932 4.440
```

Output
SG: No. 166
Total DFT energy (no corrections), eV per atom: -2.37

=====

Number 1: calculated density 6.32 Mg/m³, energy of formation -0.581 eV per atom. Number 2: calculated density 8.59 Mg/m³, energy of formation 0.069 eV per atom.